VASP calculation (PBE-GGA) on a relaxed structure of Cs2Cu2NiTe4.

a b c (Å): 7.9797 7.9797 6.2744
angles (deg): 90.00 90.00 133.76
Closest atoms and distances in Å follow each position.
Atoms (fractional coordinates):
Cs 0.0000 0.5000 0.2498  8 Te 3.85-3.94, 4 Cu 4.29, 2 Ni 4.29
Cs 0.5000 0.0000 0.7502  8 Te 3.85-3.94, 4 Cu 4.29, 2 Ni 4.29
Cu 0.0000 0.0000 0.0000  4 Te 2.60
Cu 0.5000 0.5000 0.5000  4 Te 2.60
Ni 0.0000 0.0000 0.5000  4 Te 2.53
Te 0.1493 0.3338 0.7415  1 Ni 2.53, 2 Cu 2.60
Te 0.3338 0.1493 0.2585  1 Ni 2.53, 2 Cu 2.60
Te 0.6662 0.8507 0.2585  1 Ni 2.53, 2 Cu 2.60
Te 0.8507 0.6662 0.7415  1 Ni 2.53, 2 Cu 2.60

## Properties
The calculation puts the total DFT energy (no corrections) at -3.43 eV/atom. For the density, the calculation gives 5.536 Mg/m³.



VASP calculation (PBE-GGA) on a relaxed structure of YCuGeSe3.

a b c (Å): 11.2300 4.0871 11.5576
angles (deg): 90.00 90.00 90.00
Closest atoms and distances in Å follow each position.
Atoms (fractional coordinates):
Y 0.0170 0.2500 0.1861  7 Se 2.84-3.08
Y 0.4830 0.7500 0.6861  7 Se 2.84-3.08
Y 0.5170 0.2500 0.3139  7 Se 2.84-3.08
Y 0.9830 0.7500 0.8139  7 Se 2.84-3.08
Cu 0.2428 0.7500 0.2926  4 Se 2.41-2.48
Cu 0.2572 0.2500 0.7926  4 Se 2.41-2.48
Cu 0.7428 0.7500 0.2074  4 Se 2.41-2.48
Cu 0.7572 0.2500 0.7074  4 Se 2.41-2.48
Ge 0.1718 0.2500 0.5025  5 Se 2.79-2.92
Ge 0.3282 0.7500 0.0025  5 Se 2.79-2.92
Ge 0.6718 0.2500 0.9975  5 Se 2.79-2.92
Ge 0.8282 0.7500 0.4975  5 Se 2.79-2.92
Se 0.0417 0.7500 0.3741  1 Cu 2.45
Se 0.1032 0.2500 0.9376  1 Cu 2.41
Se 0.2184 0.7500 0.6777  2 Cu 2.48
Se 0.2816 0.2500 0.1777  2 Cu 2.48
Se 0.3968 0.7500 0.4376  1 Cu 2.41
Se 0.4583 0.2500 0.8741  1 Cu 2.45
Se 0.5417 0.7500 0.1259  1 Cu 2.45
Se 0.6032 0.2500 0.5624  1 Cu 2.41
Se 0.7184 0.7500 0.8223  2 Cu 2.48
Se 0.7816 0.2500 0.3223  2 Cu 2.48
Se 0.8968 0.7500 0.0624  1 Cu 2.41
Se 0.9583 0.2500 0.6259  1 Cu 2.45

## Properties
The calculation puts the total DFT energy (no corrections) at -5.02 eV/atom. For the density, the calculation gives 5.784 Mg/m³.



VASP calculation (PBE-GGA) on a relaxed structure of La2TmP3.

a b c (Å): 4.1653 4.1653 10.1939
angles (deg): 90.00 90.00 120.00
Closest atoms and distances in Å follow each position.
Atoms (fractional coordinates):
La 0.3333 0.6667 0.3249  6 P 2.99-3.00
La 0.6667 0.3333 0.6751  6 P 2.99-3.00
Tm 0.0000 0.0000 0.0000  6 P 2.86
P 0.0000 0.0000 0.5000  6 La 3.00
P 0.3333 0.6667 0.8488  3 Tm 2.86, 3 La 2.99
P 0.6667 0.3333 0.1512  3 Tm 2.86, 3 La 2.99

## Properties
The calculation puts the total DFT energy (no corrections) at -6.66 eV/atom. For the density, the calculation gives 5.851 Mg/m³.



VASP calculation (PBE-GGA) on a relaxed structure of LiNdPb2.

a b c (Å): 4.8588 4.8588 4.5595
angles (deg): 90.00 90.00 90.00
Closest atoms and distances in Å follow each position.
Atoms (fractional coordinates):
Li 0.0000 0.0000 0.0000  8 Pb 3.33, 4 Nd 3.44
Nd 0.5000 0.5000 0.0000  8 Pb 3.33, 4 Li 3.44
Pb 0.0000 0.5000 0.5000  4 Nd 3.33, 4 Li 3.33, 4 Pb 3.44
Pb 0.5000 0.0000 0.5000  4 Nd 3.33, 4 Li 3.33, 4 Pb 3.44

## Properties
The calculation puts the total DFT energy (no corrections) at -3.97 eV/atom. For the density, the calculation gives 8.725 Mg/m³.



VASP calculation (PBE-GGA) on a relaxed structure of Nb8Sb2C3N3.

a b c (Å): 3.2487 3.2487 23.6669
angles (deg): 90.00 90.00 120.00
Closest atoms and distances in Å follow each position.
Atoms (fractional coordinates):
Nb 0.0000 0.0000 0.1512  3 N 2.15
Nb 0.0000 0.0000 0.3427  3 C 2.19
Nb 0.0000 0.0000 0.6573  3 C 2.19
Nb 0.0000 0.0000 0.8488  3 N 2.15
Nb 0.3333 0.6667 0.5559  6 C 2.27-2.29
Nb 0.3333 0.6667 0.9442  6 N 2.23-2.29
Nb 0.6667 0.3333 0.0558  6 N 2.23-2.29
Nb 0.6667 0.3333 0.4441  6 C 2.27-2.29
Sb 0.3333 0.6667 0.7536  6 Nb 2.93-2.95, 6 Sb 3.25
Sb 0.6667 0.3333 0.2464  6 Nb 2.93-2.95, 6 Sb 3.25
C 0.0000 0.0000 0.5000  6 Nb 2.29
C 0.3333 0.6667 0.3904  6 Nb 2.19-2.27
C 0.6667 0.3333 0.6096  6 Nb 2.19-2.27
N 0.0000 0.0000 0.0000  6 Nb 2.29
N 0.3333 0.6667 0.1067  6 Nb 2.15-2.23
N 0.6667 0.3333 0.8933  6 Nb 2.15-2.23

## Properties
The calculation puts the total DFT energy (no corrections) at -9.39 eV/atom. For the density, the calculation gives 8.174 Mg/m³.



VASP calculation (PBE-GGA) on a relaxed structure of GaAgTeO.

a b c (Å): 3.8045 3.8045 10.0520
angles (deg): 90.00 90.00 90.00
Closest atoms and distances in Å follow each position.
Atoms (fractional coordinates):
Ga 0.2500 0.2500 0.0873  4 O 2.09
Ga 0.7500 0.7500 0.9127  4 O 2.09
Ag 0.2500 0.7500 0.5000  4 Ag 2.69, 4 Te 2.89
Ag 0.7500 0.2500 0.5000  4 Ag 2.69, 4 Te 2.89
Te 0.2500 0.2500 0.7163  4 Ag 2.89
Te 0.7500 0.7500 0.2837  4 Ag 2.89
O 0.2500 0.7500 0.0000  4 Ga 2.09
O 0.7500 0.2500 0.0000  4 Ga 2.09

## Properties
The calculation puts the total DFT energy (no corrections) at -3.97 eV/atom. For the density, the calculation gives 7.332 Mg/m³.



VASP calculation (PBE-GGA) on a relaxed structure of Pa2Ir2Pb.

a b c (Å): 7.8659 7.8659 3.5740
angles (deg): 90.00 90.00 90.00
Closest atoms and distances in Å follow each position.
Atoms (fractional coordinates):
Pa 0.1685 0.3315 0.0000  6 Ir 2.86-2.97
Pa 0.3315 0.8315 0.0000  6 Ir 2.86-2.97
Pa 0.6685 0.1685 0.0000  6 Ir 2.86-2.97
Pa 0.8315 0.6685 0.0000  6 Ir 2.86-2.97
Ir 0.1307 0.6307 0.5000  6 Pa 2.86-2.97, 1 Ir 2.91, 2 Pb 3.08
Ir 0.3693 0.1307 0.5000  6 Pa 2.86-2.97, 1 Ir 2.91, 2 Pb 3.08
Ir 0.6307 0.8693 0.5000  6 Pa 2.86-2.97, 1 Ir 2.91, 2 Pb 3.08
Ir 0.8693 0.3693 0.5000  6 Pa 2.86-2.97, 1 Ir 2.91, 2 Pb 3.08
Pb 0.0000 0.0000 0.5000  4 Ir 3.08, 8 Pa 3.43
Pb 0.5000 0.5000 0.5000  4 Ir 3.08, 8 Pa 3.43

## Properties
The calculation puts the total DFT energy (no corrections) at -8.81 eV/atom. For the density, the calculation gives 15.825 Mg/m³.



VASP calculation (PBE-GGA) on a relaxed structure of KPuF6.

a b c (Å): 4.9256 4.9256 4.9256
angles (deg): 97.26 97.26 97.26
Closest atoms and distances in Å follow each position.
Atoms (fractional coordinates):
K 0.0000 0.0000 0.0000  12 F 2.65-2.91
Pu 0.5000 0.5000 0.5000  6 F 2.05
F 0.2030 0.2030 0.5810  1 Pu 2.05
F 0.2030 0.5810 0.2030  1 Pu 2.05
F 0.4190 0.7970 0.7970  1 Pu 2.05
F 0.5810 0.2030 0.2030  1 Pu 2.05
F 0.7970 0.4190 0.7970  1 Pu 2.05
F 0.7970 0.7970 0.4190  1 Pu 2.05

## Properties
The calculation puts the total DFT energy (no corrections) at -6.40 eV/atom. For the density, the calculation gives 5.667 Mg/m³.



VASP calculation (PBE-GGA) on a relaxed structure of HfCdCoBi.

a b c (Å): 6.8150 6.8150 6.8150
angles (deg): 90.00 90.00 90.00
Closest atoms and distances in Å follow each position.
Atoms (fractional coordinates):
Hf 0.0000 0.0000 0.0000  4 Bi 2.95, 4 Cd 2.95
Hf 0.0000 0.5000 0.5000  4 Bi 2.95, 4 Cd 2.95
Hf 0.5000 0.0000 0.5000  4 Bi 2.95, 4 Cd 2.95
Hf 0.5000 0.5000 0.0000  4 Bi 2.95, 4 Cd 2.95
Cd 0.2500 0.2500 0.7500  4 Hf 2.95, 4 Co 2.95
Cd 0.2500 0.7500 0.2500  4 Hf 2.95, 4 Co 2.95
Cd 0.7500 0.2500 0.2500  4 Hf 2.95, 4 Co 2.95
Cd 0.7500 0.7500 0.7500  4 Hf 2.95, 4 Co 2.95
Co 0.0000 0.0000 0.5000  4 Cd 2.95, 4 Bi 2.95
Co 0.0000 0.5000 0.0000  4 Cd 2.95, 4 Bi 2.95
Co 0.5000 0.0000 0.0000  4 Cd 2.95, 4 Bi 2.95
Co 0.5000 0.5000 0.5000  4 Cd 2.95, 4 Bi 2.95
Bi 0.2500 0.2500 0.2500  4 Hf 2.95, 4 Co 2.95
Bi 0.2500 0.7500 0.7500  4 Hf 2.95, 4 Co 2.95
Bi 0.7500 0.2500 0.7500  4 Hf 2.95, 4 Co 2.95
Bi 0.7500 0.7500 0.2500  4 Hf 2.95, 4 Co 2.95

## Properties
The calculation puts the total DFT energy (no corrections) at -5.11 eV/atom. For the density, the calculation gives 11.727 Mg/m³.



VASP calculation (PBE-GGA) on a relaxed structure of PrHoSb.

a b c (Å): 7.3059 7.3059 7.3059
angles (deg): 90.00 90.00 90.00
Closest atoms and distances in Å follow each position.
Atoms (fractional coordinates):
Pr 0.0000 0.0000 0.0000  4 Sb 3.16
Pr 0.0000 0.5000 0.5000  4 Sb 3.16
Pr 0.5000 0.0000 0.5000  4 Sb 3.16
Pr 0.5000 0.5000 0.0000  4 Sb 3.16
Ho 0.0000 0.0000 0.5000  4 Sb 3.16
Ho 0.0000 0.5000 0.0000  4 Sb 3.16
Ho 0.5000 0.0000 0.0000  4 Sb 3.16
Ho 0.5000 0.5000 0.5000  4 Sb 3.16
Sb 0.2500 0.2500 0.7500  4 Pr 3.16, 4 Ho 3.16
Sb 0.2500 0.7500 0.2500  4 Pr 3.16, 4 Ho 3.16
Sb 0.7500 0.2500 0.2500  4 Pr 3.16, 4 Ho 3.16
Sb 0.7500 0.7500 0.7500  4 Pr 3.16, 4 Ho 3.16

## Properties
The calculation puts the total DFT energy (no corrections) at -5.06 eV/atom. For the density, the calculation gives 7.283 Mg/m³.



VASP calculation (PBE-GGA) on a relaxed structure of NaTbHgSe3.

a b c (Å): 8.3085 4.2362 17.4250
angles (deg): 90.00 90.00 90.00
Closest atoms and distances in Å follow each position.
Atoms (fractional coordinates):
Na 0.0797 0.2500 0.1936  6 Se 3.13-3.24, 2 Hg 3.40
Na 0.4203 0.7500 0.6936  6 Se 3.13-3.24, 2 Hg 3.40
Na 0.5797 0.2500 0.3064  6 Se 3.13-3.24, 2 Hg 3.40
Na 0.9203 0.7500 0.8064  6 Se 3.13-3.24, 2 Hg 3.40
Tb 0.2222 0.2500 0.9628  7 Se 2.86-3.13
Tb 0.2778 0.7500 0.4628  7 Se 2.86-3.13
Tb 0.7222 0.2500 0.5372  7 Se 2.86-3.13
Tb 0.7778 0.7500 0.0372  7 Se 2.86-3.13
Hg 0.0490 0.2500 0.6663  4 Se 2.61-2.88
Hg 0.4510 0.7500 0.1663  4 Se 2.61-2.88
Hg 0.5490 0.2500 0.8337  4 Se 2.61-2.88
Hg 0.9510 0.7500 0.3337  4 Se 2.61-2.88
Se 0.0109 0.2500 0.4276  2 Hg 2.72
Se 0.1243 0.7500 0.0631  3 Tb 2.86-2.91, 2 Na 3.13
Se 0.2126 0.2500 0.7939  2 Hg 2.61-2.88
Se 0.2874 0.7500 0.2939  2 Hg 2.61-2.88
Se 0.3757 0.2500 0.5631  3 Tb 2.86-2.91, 2 Na 3.13
Se 0.4891 0.7500 0.9276  2 Hg 2.72
Se 0.5109 0.2500 0.0724  2 Hg 2.72
Se 0.6243 0.7500 0.4369  3 Tb 2.86-2.91, 2 Na 3.13
Se 0.7126 0.2500 0.7061  2 Hg 2.61-2.88
Se 0.7874 0.7500 0.2061  2 Hg 2.61-2.88
Se 0.8757 0.2500 0.9369  3 Tb 2.86-2.91, 2 Na 3.13
Se 0.9891 0.7500 0.5724  2 Hg 2.72

## Properties
The calculation puts the total DFT energy (no corrections) at -3.85 eV/atom. For the density, the calculation gives 6.708 Mg/m³.



VASP calculation (PBE-GGA) on a relaxed structure of K2TcAs2.

a b c (Å): 8.7208 8.7208 5.2253
angles (deg): 90.00 90.00 135.55
Closest atoms and distances in Å follow each position.
Atoms (fractional coordinates):
K 0.0739 0.9261 0.7500  6 As 3.38-3.66, 2 K 3.54, 4 Tc 3.74
K 0.2832 0.7168 0.2500  6 As 3.34-3.41, 2 Tc 3.74
K 0.7168 0.2832 0.7500  6 As 3.34-3.41, 2 Tc 3.74
K 0.9261 0.0739 0.2500  6 As 3.38-3.66, 2 K 3.54, 4 Tc 3.74
Tc 0.5000 0.5000 0.0000  4 As 2.58, 2 Tc 2.61
Tc 0.5000 0.5000 0.5000  4 As 2.58, 2 Tc 2.61
As 0.1961 0.4238 0.7500  1 As 2.51, 2 Tc 2.58
As 0.4238 0.1961 0.2500  1 As 2.51, 2 Tc 2.58
As 0.5762 0.8039 0.7500  1 As 2.51, 2 Tc 2.58
As 0.8039 0.5762 0.2500  1 As 2.51, 2 Tc 2.58

## Properties
The calculation puts the total DFT energy (no corrections) at -4.54 eV/atom. For the density, the calculation gives 3.891 Mg/m³.